Record 1
Compound: CeEr4TlS8
Source: Alexandria via LeMat-Bulk
Functional: PBE
Structure: optimized geometry

CIF file:
```
data_CeEr4TlS8
_chemical_formula_sum 'Ce1 Er4 Tl1 S8'
_space_group_name_H-M_alt 'P 1'
_space_group_IT_number 1
_cell_length_a 8.3071
_cell_length_b 8.3071
_cell_length_c 8.3071
_cell_angle_alpha 58.53
_cell_angle_beta 58.53
_cell_angle_gamma 58.53
loop_
_space_group_symop_operation_xyz
'x,y,z'
loop_
_atom_site_label
_atom_site_fract_x
_atom_site_fract_y
_atom_site_fract_z
_atom_site_occupancy
Ce1 0.0000 0.0000 0.0000 1
Er1 0.9998 0.9998 0.5151 1
Er2 0.9998 0.5151 0.9998 1
Er3 0.3777 0.3777 0.3777 1
Er4 0.5151 0.9998 0.9998 1
Tl1 0.6324 0.6324 0.6324 1
S1 0.2055 0.7640 0.7640 1
S2 0.2465 0.2465 0.2465 1
S3 0.2527 0.2527 0.7724 1
S4 0.2527 0.7724 0.2527 1
S5 0.7640 0.2055 0.7640 1
S6 0.7640 0.7640 0.2055 1
S7 0.7724 0.2527 0.2527 1
S8 0.7720 0.7720 0.7720 1
```

## Properties
**Space group**: R3m
**Total magnetic moment**: 1.0 μB/cell
**Raw formation energy**: -25.0 eV per formula unit
**DFT total energy**: -0.4437 Ry/atom


Record 2
Compound: KNaSb2
Source: Alexandria via LeMat-Bulk
Functional: PBE
Structure: optimized geometry

CIF file:
```
data_KNaSb2
_chemical_formula_sum 'K1 Na1 Sb2'
_space_group_name_H-M_alt 'P 1'
_space_group_IT_number 1
_cell_length_a 4.7628
_cell_length_b 4.7628
_cell_length_c 5.1931
_cell_angle_alpha 90.00
_cell_angle_beta 90.00
_cell_angle_gamma 90.00
loop_
_space_group_symop_operation_xyz
'x,y,z'
loop_
_atom_site_label
_atom_site_fract_x
_atom_site_fract_y
_atom_site_fract_z
_atom_site_occupancy
K1 0.0000 0.0000 0.0000 1
Na1 0.5000 0.5000 0.0000 1
Sb1 0.0000 0.5000 0.5000 1
Sb2 0.5000 0.0000 0.5000 1
```

## Properties
**Space group**: P4/mmm
**Total magnetic moment**: 0.0 μB/cell
**Raw formation energy**: -1.1 eV per formula unit
**DFT total energy**: -0.2164 Ry/atom


Record 3
Compound: HfAl3Te
Source: Alexandria via LeMat-Bulk
Functional: PBE
Structure: optimized geometry

CIF file:
```
data_HfAl3Te
_chemical_formula_sum 'Hf1 Al3 Te1'
_space_group_name_H-M_alt 'P 1'
_space_group_IT_number 1
_cell_length_a 5.1371
_cell_length_b 5.1371
_cell_length_c 5.1371
_cell_angle_alpha 90.00
_cell_angle_beta 90.00
_cell_angle_gamma 90.00
loop_
_space_group_symop_operation_xyz
'x,y,z'
loop_
_atom_site_label
_atom_site_fract_x
_atom_site_fract_y
_atom_site_fract_z
_atom_site_occupancy
Hf1 0.0000 0.0000 0.0000 1
Al1 0.0000 0.5000 0.5000 1
Al2 0.5000 0.0000 0.5000 1
Al3 0.5000 0.5000 0.0000 1
Te1 0.5000 0.5000 0.5000 1
```

## Properties
**Space group**: Pm-3m
**Total magnetic moment**: 0.0 μB/cell
**Raw formation energy**: 5.9 eV per formula unit
**DFT total energy**: -0.2709 Ry/atom